# RbH2PdRh

Crystalline RbH2PdRh at its relaxed geometry (GGA-PBE, Alexandria via LeMat-Bulk).

Geometry as extended XYZ:
```
5
Lattice="3.883 0.000 0.000 0.000 3.883 0.000 0.000 0.000 6.524" Properties=species:S:1:pos:R:3 pbc="T T T"
Rb 0.000 0.000 0.000
H 0.000 1.941 0.000
H 1.941 0.000 0.000
Pd 1.941 1.941 3.262
Rh 0.000 0.000 3.262
```

Summary:
The value obtained for the density of states at the Fermi level is 5.91 states/eV/f.u. Its total energy is -12.361 eV for the cell shown.

# Tb5Tl2O2

Crystalline Tb5Tl2O2 at its relaxed geometry (GGA-PBE, Alexandria via LeMat-Bulk).

Geometry as extended XYZ:
```
18
Lattice="-3.397 9.363 3.430 3.397 -9.363 3.430 3.397 9.363 -3.430" Properties=species:S:1:pos:R:3 pbc="T T T"
Tb 1.699 4.681 -1.715
Tb 1.699 -4.681 1.715
Tb 0.000 2.566 0.442
Tb 1.699 9.177 -1.715
Tb 1.699 -0.186 1.715
Tb 0.000 6.797 0.442
Tb 3.397 2.566 2.988
Tb -1.699 9.549 1.715
Tb 1.699 9.549 1.715
Tb 3.397 6.797 2.988
Tl 3.397 2.365 -0.119
Tl 3.397 6.998 -0.119
Tl 0.000 2.365 3.549
Tl 0.000 6.998 3.549
O 0.000 0.000 0.000
O 3.397 -4.681 3.234
O 0.000 9.363 0.000
O 0.000 14.044 0.196
```

Summary:
The calculation puts the raw formation energy at -1.444 eV/atom. The value obtained for the density of states at the Fermi level is 2.83 states/eV/f.u. Its total energy is -101.594 eV for the cell shown.

# TcSe2SBr

Crystalline TcSe2SBr at its relaxed geometry (GGA-PBE, Alexandria via LeMat-Bulk).

Geometry as extended XYZ:
```
5
Lattice="4.821 0.000 0.000 0.000 4.821 0.000 0.000 0.000 5.032" Properties=species:S:1:pos:R:3 pbc="T T T"
Tc 0.000 0.000 0.000
Se 0.000 2.410 0.000
Se 2.410 0.000 0.000
S 2.410 2.410 2.516
Br 0.000 0.000 2.516
```

Summary:
The calculation puts the raw formation energy at 0.580 eV/atom. The value obtained for the density of states at the Fermi level is 5.39 states/eV/f.u. Its total energy is -20.235 eV for the cell shown. The excess energy over the best structure of this formula in the dataset is 0 meV per atom.

# PuNpTcOs

Crystalline PuNpTcOs at its relaxed geometry (GGA-PBE, Alexandria via LeMat-Bulk).

Geometry as extended XYZ:
```
4
Lattice="0.000 3.372 3.372 3.372 0.000 3.372 3.372 3.372 0.000" Properties=species:S:1:pos:R:3 pbc="T T T"
Pu 0.000 0.000 0.000
Np 3.372 3.372 3.372
Tc 1.686 1.686 1.686
Os 5.058 5.058 5.058
```

Summary:
The value obtained for the density of states at the Fermi level is 8.15 states/eV/f.u. Its total energy is -48.410 eV for the cell shown.

# TbPb7

Crystalline TbPb7 at its relaxed geometry (GGA-PBE, Alexandria via LeMat-Bulk).

Geometry as extended XYZ:
```
8
Lattice="0.000 4.959 4.959 4.959 0.000 4.959 4.959 4.959 0.000" Properties=species:S:1:pos:R:3 pbc="T T T"
Tb 0.000 0.000 0.000
Pb 2.479 2.479 0.000
Pb 2.479 0.000 2.479
Pb 4.959 2.479 2.479
Pb 0.000 2.479 2.479
Pb 2.479 4.959 2.479
Pb 2.479 2.479 4.959
Pb 4.959 4.959 4.959
```

Summary:
The value obtained for the density of states at the Fermi level is 8.34 states/eV/f.u. Its total energy is -31.497 eV for the cell shown.

# Ni2CS

Crystalline Ni2CS at its relaxed geometry (GGA-PBE, Alexandria via LeMat-Bulk).

Geometry as extended XYZ:
```
8
Lattice="3.895 0.000 0.000 -0.424 5.138 0.000 -1.079 -2.580 4.675" Properties=species:S:1:pos:R:3 pbc="T T T"
Ni 0.000 0.000 0.000
Ni -0.478 -0.788 2.914
Ni 1.518 3.388 0.218
Ni 2.374 1.720 2.191
C -0.213 2.617 3.244
C 0.991 2.045 3.494
S 1.352 -0.253 1.789
S 3.439 2.175 0.270
```

Summary:
The calculation puts the raw formation energy at 0.163 eV/atom. The value obtained for the density of states at the Fermi level is 2.55 states/eV/f.u. Its total energy is -48.526 eV for the cell shown. The excess energy over the best structure of this formula in the dataset is 46 meV per atom.

# ZrInAu6

Crystalline ZrInAu6 at its relaxed geometry (GGA-PBE, Alexandria via LeMat-Bulk).

Geometry as extended XYZ:
```
8
Lattice="4.672 -2.148 0.000 4.672 2.148 0.000 -3.692 0.000 7.518" Properties=species:S:1:pos:R:3 pbc="T T T"
Zr 0.000 0.000 0.000
In -1.846 0.000 3.759
Au 0.935 0.000 2.783
Au -0.868 0.000 6.611
Au 3.761 0.000 1.864
Au 1.891 0.000 5.654
Au 6.520 0.000 0.907
Au 4.718 0.000 4.735
```

Summary:
The value obtained for the density of states at the Fermi level is 1.97 states/eV/f.u. Its total energy is -33.310 eV for the cell shown.

# Sc4PaRh5

Crystalline Sc4PaRh5 at its relaxed geometry (GGA-PBE, Alexandria via LeMat-Bulk).

Geometry as extended XYZ:
```
10
Lattice="3.208 0.000 0.000 0.000 3.208 0.000 0.000 0.000 16.995" Properties=species:S:1:pos:R:3 pbc="T T T"
Sc 0.000 0.000 1.637
Sc 0.000 0.000 4.918
Sc 0.000 0.000 12.078
Sc 0.000 0.000 15.358
Pa 0.000 0.000 8.498
Rh 1.604 1.604 0.000
Rh 1.604 1.604 3.266
Rh 1.604 1.604 6.536
Rh 1.604 1.604 10.459
Rh 1.604 1.604 13.730
```

Summary:
The value obtained for the density of states at the Fermi level is 6.80 states/eV/f.u. Its total energy is -80.841 eV for the cell shown.